# Pr5NdAl2 (PBE-GGA, optimized geometry)
data_Pr5NdAl2
_cell_length_a 5.5031
_cell_length_b 5.5031
_cell_length_c 20.3026
_cell_angle_alpha 90.00
_cell_angle_beta 90.00
_cell_angle_gamma 120.00
_symmetry_space_group_name_H-M 'P 63/m m c'
_symmetry_Int_Tables_number 194
_symmetry_space_group_name_Hall '-P 6c 2c'
loop_
_atom_site_label
_atom_site_type_symbol
_atom_site_fract_x
_atom_site_fract_y
_atom_site_fract_z
Pr1 Pr 0.0000 0.0000 0.1537
Pr2 Pr 0.3333 0.6667 0.0561
Pr3 Pr 0.3333 0.6667 0.2500
Nd1 Nd 0.3333 0.6667 0.7500
Al1 Al 0.3333 0.6667 0.5990
# DFT formation energy in kJ per mole of atoms: -0.72
# Electronic total energy in eV per atom: -4.5263
# Total moment in μB per atom: 0.000
# Density of states at the Fermi level in states/eV/cell: 28.5